(1)
Computed, not measured: Te6MoW3Se2 after structural relaxation at the GGA-PBEsol level of DFT.

a = 3.433 Å, b = 3.433 Å, c = 27.549 Å
α = 90.00°, β = 90.00°, γ = 120.00°
Atoms (fractional coordinates):
Te: 0.000 0.000 0.066
Te: 0.000 0.000 0.934
Te: 0.333 0.667 0.189
Te: 0.333 0.667 0.322
Te: 0.333 0.667 0.678
Te: 0.333 0.667 0.811
Mo: 0.333 0.667 0.000
W: 0.000 0.000 0.256
W: 0.000 0.000 0.744
W: 0.333 0.667 0.500
Se: 0.000 0.000 0.441
Se: 0.000 0.000 0.559

Output
magnetization	0.0	μB/f.u.
symmetry	P-6m2, No. 187
energy relative to the elements, uncorrected	-0.240	eV per atom

***

(2)
Computed, not measured: SrSiRu after structural relaxation at the GGA-PBEsol level of DFT.

a = 4.009 Å, b = 4.009 Å, c = 4.791 Å
α = 90.00°, β = 90.00°, γ = 120.00°
Atoms (fractional coordinates):
Sr: 0.000 0.000 0.000
Si: 0.667 0.333 0.500
Ru: 0.333 0.667 0.500

Output
magnetization	0.0	μB/f.u.
symmetry	P-6m2, No. 187
energy relative to the elements, uncorrected	-0.320	eV per atom

***

(3)
Computed, not measured: KLaW2O8 after structural relaxation at the GGA-PBEsol level of DFT.

a = 7.048 Å, b = 7.048 Å, c = 7.048 Å
α = 134.58°, β = 134.58°, γ = 66.18°
Atoms (fractional coordinates):
K: 0.000 0.000 0.000
La: 0.250 0.750 0.500
W: 0.500 0.500 0.000
W: 0.750 0.250 0.500
O: 0.281 0.176 0.633
O: 0.352 0.719 0.895
O: 0.439 0.330 0.429
O: 0.543 0.648 0.367
O: 0.670 0.099 0.109
O: 0.824 0.457 0.105
O: 0.901 0.010 0.571
O: 0.990 0.561 0.891

Output
magnetization	0.0	μB/f.u.
symmetry	I-4, No. 82
energy relative to the elements, uncorrected	-2.506	eV per atom

***

(4)
Computed, not measured: CsMgSi2 after structural relaxation at the GGA-PBEsol level of DFT.

a = 5.152 Å, b = 5.152 Å, c = 18.616 Å
α = 90.00°, β = 90.00°, γ = 90.00°
Atoms (fractional coordinates):
Cs: 0.000 0.250 0.375
Cs: 0.000 0.750 0.625
Cs: 0.500 0.250 0.125
Cs: 0.500 0.750 0.875
Mg: 0.000 0.250 0.875
Mg: 0.000 0.750 0.125
Mg: 0.500 0.250 0.625
Mg: 0.500 0.750 0.375
Si: 0.000 0.000 0.000
Si: 0.000 0.500 0.000
Si: 0.250 0.250 0.750
Si: 0.250 0.750 0.250
Si: 0.500 0.000 0.500
Si: 0.500 0.500 0.500
Si: 0.750 0.250 0.750
Si: 0.750 0.750 0.250

Output
magnetization	0.0	μB/f.u.
symmetry	I4_1/amd, No. 141
energy relative to the elements, uncorrected	0.348	eV per atom